KYTe2: PBEsol geometry, SCAN.

Structure (POSCAR):
```
KYTe2
1.0
-4.121 4.121 4.885
4.121 -4.121 4.885
4.121 4.121 -4.885
K Y Te
2 2 4
Cartesian
0.000 0.000 0.000 K
0.000 4.121 2.442 K
4.121 0.000 2.442 Y
0.000 0.000 4.885 Y
2.061 -1.664 3.663 Te
2.457 2.061 1.221 Te
2.061 5.786 -1.221 Te
1.664 2.061 6.106 Te
```

Properties
**Total magnetic moment**: 0.0000 μB/atom
**Energy relative to the elements, uncorrected**: -129.1 kJ/mol of atoms
**SG**: I-42d (122)

KYTe2: PBEsol geometry, SCAN.

Structure (POSCAR):
```
KYTe2
1.0
8.476 -2.000 0.000
8.476 2.000 0.000
-1.048 0.000 4.090
K Y Te
1 1 2
Cartesian
0.000 0.000 0.000 K
12.559 0.000 1.059 Y
2.330 0.000 2.789 Te
6.197 0.000 1.595 Te
```

Properties
**Total magnetic moment**: 0.0000 μB/atom
**Energy relative to the elements, uncorrected**: -135.5 kJ/mol of atoms
**SG**: Cm (8)

KYTe2: PBEsol geometry, SCAN.

Structure (POSCAR):
```
KYTe2
1.0
2.209 1.275 8.110
-2.209 1.275 8.110
0.000 -2.551 8.110
K Y Te
1 1 2
Cartesian
0.000 0.000 0.000 K
0.000 0.000 12.165 Y
0.000 0.000 5.762 Te
0.000 0.000 18.568 Te
```

Properties
**Total magnetic moment**: 0.0000 μB/atom
**Energy relative to the elements, uncorrected**: -154.9 kJ/mol of atoms
**SG**: R-3m (166)

KYTe2: PBEsol geometry, SCAN.

Structure (POSCAR):
```
KYTe2
1.0
-2.253 2.253 5.716
2.253 -2.253 5.716
2.253 2.253 -5.716
K Y Te
1 1 2
Cartesian
0.000 0.000 0.000 K
2.253 0.000 2.858 Y
0.000 0.000 5.716 Te
0.000 2.253 2.858 Te
```

Properties
**Total magnetic moment**: 0.0000 μB/atom
**Energy relative to the elements, uncorrected**: -93.6 kJ/mol of atoms
**SG**: I-4m2 (119)

KY2Te: PBEsol geometry, SCAN.

Structure (POSCAR):
```
KY2Te
1.0
3.941 0.000 0.000
0.000 3.941 0.000
0.000 0.000 9.110
K Y Te
1 2 1
Cartesian
0.000 0.000 0.000 K
0.000 0.000 3.785 Y
1.970 1.970 5.792 Y
1.970 1.970 2.492 Te
```

Properties
**Total magnetic moment**: 0.2544 μB/atom
**Energy relative to the elements, uncorrected**: -57.7 kJ/mol of atoms
**SG**: P4mm (99)

KY2Te: PBEsol geometry, SCAN.

Structure (POSCAR):
```
KY2Te
1.0
-2.310 2.310 5.612
2.310 -2.310 5.612
2.310 2.310 -5.612
K Y Te
1 2 1
Cartesian
0.000 0.000 0.000 K
2.310 0.000 2.806 Y
0.000 0.000 5.612 Y
0.000 2.310 2.806 Te
```

Properties
**Total magnetic moment**: 0.0000 μB/atom
**Energy relative to the elements, uncorrected**: -13.6 kJ/mol of atoms
**SG**: I-4m2 (119)

KY2Te: PBEsol geometry, SCAN.

Structure (POSCAR):
```
KY2Te
1.0
3.853 0.000 0.000
0.000 5.155 0.000
-1.676 0.000 6.692
K Y Te
1 2 1
Cartesian
0.000 0.000 0.000 K
0.139 2.577 4.722 Y
2.038 2.577 1.970 Y
1.089 0.000 3.346 Te
```

Properties
**Total magnetic moment**: 0.0625 μB/atom
**Energy relative to the elements, uncorrected**: -22.6 kJ/mol of atoms
**SG**: P2/m (10)

KZnTe4: PBEsol geometry, SCAN.

Structure (POSCAR):
```
KZnTe4
1.0
0.000 4.542 4.542
4.542 0.000 4.542
4.542 4.542 0.000
K Zn Te
1 1 4
Cartesian
0.000 0.000 0.000 K
2.271 2.271 2.271 Zn
5.670 3.415 3.415 Te
3.415 5.670 3.415 Te
3.415 3.415 5.670 Te
5.670 5.670 5.670 Te
```

Properties
**Total magnetic moment**: 0.0000 μB/atom
**Energy relative to the elements, uncorrected**: -2.8 kJ/mol of atoms
**SG**: F-43m (216)

KZnTe: PBEsol geometry, SCAN.

Structure (POSCAR):
```
KZnTe
1.0
4.796 0.000 0.000
-2.398 4.153 0.000
0.000 0.000 4.803
K Zn Te
1 1 1
Cartesian
0.000 0.000 0.000 K
2.398 1.384 2.391 Zn
0.000 2.769 2.405 Te
```

Properties
**Total magnetic moment**: 0.0026 μB/atom
**Energy relative to the elements, uncorrected**: -42.0 kJ/mol of atoms
**SG**: P3m1 (156)

K2ZnTe: PBEsol geometry, SCAN.

Structure (POSCAR):
```
K2ZnTe
1.0
6.455 -2.126 0.000
6.455 2.126 0.000
-2.210 0.000 4.878
K Zn Te
2 1 1
Cartesian
0.000 0.000 0.000 K
1.012 0.000 3.399 K
9.297 0.000 1.290 Zn
4.604 0.000 2.101 Te
```

Properties
**Distance to the lowest polymorph of the same formula**: 0.0000 eV per atom
**Total magnetic moment**: 0.0000 μB/atom
**Energy relative to the elements, uncorrected**: -54.4 kJ/mol of atoms
**SG**: Cm (8)

K2ZnTe: PBEsol geometry, SCAN.

Structure (POSCAR):
```
K2ZnTe
1.0
5.384 0.000 0.000
0.000 5.384 0.000
0.000 0.000 4.569
K Zn Te
2 1 1
Cartesian
0.000 2.692 0.000 K
2.692 0.000 0.000 K
0.000 0.000 2.284 Zn
2.692 2.692 2.284 Te
```

Properties
**Distance to the lowest polymorph of the same formula**: 0.0443 eV per atom
**Total magnetic moment**: 0.0000 μB/atom
**Energy relative to the elements, uncorrected**: -50.1 kJ/mol of atoms
**SG**: P4/mmm (123)

KZr12Te16: PBEsol geometry, SCAN.

Structure (POSCAR):
```
KZr12Te16
1.0
7.757 0.000 0.000
0.000 11.000 0.000
3.878 5.499 9.528
K Zr Te
1 12 16
Cartesian
0.000 0.000 0.000 K
2.901 4.156 4.846 Zr
4.851 11.774 8.352 Zr
2.919 7.611 3.498 Zr
4.855 8.882 6.024 Zr
2.916 4.723 1.185 Zr
4.837 12.337 4.681 Zr
6.799 4.162 4.847 Zr
8.719 11.776 8.343 Zr
6.780 7.617 3.504 Zr
8.716 8.888 6.030 Zr
6.784 4.726 1.176 Zr
8.735 12.343 4.682 Zr
2.909 10.996 6.355 Te
2.900 6.769 6.246 Te
4.857 8.971 8.986 Te
2.910 2.203 2.728 Te
4.856 14.292 6.790 Te
2.912 7.533 0.543 Te
4.845 9.736 3.273 Te
4.851 5.493 3.181 Te
6.785 11.006 6.347 Te
6.790 6.763 6.255 Te
8.723 8.967 8.985 Te
6.779 2.207 2.738 Te
8.725 14.296 6.800 Te
6.779 7.528 0.542 Te
8.736 9.730 3.282 Te
8.727 5.504 3.173 Te
```

Properties
**Total magnetic moment**: 0.0000 μB/atom
**Energy relative to the elements, uncorrected**: -100.3 kJ/mol of atoms
**SG**: P-1 (2)

KZrTe2: PBEsol geometry, SCAN.

Structure (POSCAR):
```
KZrTe2
1.0
1.820 1.051 10.957
-1.820 1.051 10.957
0.000 -2.102 10.957
K Zr Te
1 1 2
Cartesian
0.000 0.000 0.000 K
0.000 0.000 25.411 Zr
0.000 0.000 8.247 Te
0.000 0.000 16.301 Te
```

Properties
**Total magnetic moment**: 0.3412 μB/atom
**Energy relative to the elements, uncorrected**: -8.7 kJ/mol of atoms
**SG**: R3m (160)

K2ZrTe3: PBEsol geometry, SCAN.

Structure (POSCAR):
```
K2ZrTe3
1.0
9.385 0.000 0.000
0.000 13.804 0.000
-1.942 0.000 6.498
K Zr Te
8 4 12
Cartesian
0.749 1.940 0.384 K
-0.222 4.961 3.633 K
2.035 0.577 4.371 K
3.006 6.325 1.121 K
4.437 7.479 5.377 K
5.408 13.227 2.128 K
7.664 8.842 2.865 K
6.693 11.863 6.114 K
2.150 10.345 2.159 Zr
1.179 10.360 5.408 Zr
6.264 3.443 1.090 Zr
5.293 3.459 4.339 Zr
0.845 8.882 0.063 Te
-0.126 11.824 3.312 Te
1.409 8.002 3.789 Te
2.380 12.703 0.540 Te
3.688 2.663 2.013 Te
2.717 4.238 5.263 Te
4.726 9.565 1.236 Te
3.755 11.140 4.485 Te
5.063 1.100 5.958 Te
6.034 5.801 2.709 Te
7.568 1.980 3.186 Te
6.597 4.922 6.435 Te
```

Properties
**Total magnetic moment**: 0.0000 μB/atom
**Energy relative to the elements, uncorrected**: -110.7 kJ/mol of atoms
**SG**: P2_1/c (14)

K2ZrTe: PBEsol geometry, SCAN.

Structure (POSCAR):
```
K2ZrTe
1.0
1.696 0.979 12.386
-1.696 0.979 12.386
0.000 -1.959 12.386
K Zr Te
2 1 1
Cartesian
0.000 0.000 9.024 K
0.000 0.000 28.134 K
0.000 0.000 0.000 Zr
0.000 0.000 18.579 Te
```

Properties
**Total magnetic moment**: 0.0000 μB/atom
**Energy relative to the elements, uncorrected**: 25.9 kJ/mol of atoms
**SG**: R-3m (166)

KZrTe2: PBEsol geometry, SCAN.

Structure (POSCAR):
```
KZrTe2
1.0
0.000 3.741 3.741
3.741 0.000 3.741
3.741 3.741 0.000
K Zr Te
1 1 2
Cartesian
0.000 0.000 0.000 K
5.611 5.611 5.611 Zr
1.870 1.870 1.870 Te
3.741 3.741 3.741 Te
```

Properties
**Total magnetic moment**: 0.2443 μB/atom
**Energy relative to the elements, uncorrected**: 12.0 kJ/mol of atoms
**SG**: F-43m (216)

KZrTe2: PBEsol geometry, SCAN.

Structure (POSCAR):
```
KZrTe2
1.0
-2.187 2.187 5.533
2.187 -2.187 5.533
2.187 2.187 -5.533
K Zr Te
1 1 2
Cartesian
0.000 0.000 0.000 K
2.187 0.000 2.766 Zr
0.000 0.000 5.533 Te
0.000 2.187 2.766 Te
```

Properties
**Total magnetic moment**: 0.2055 μB/atom
**Energy relative to the elements, uncorrected**: -30.2 kJ/mol of atoms
**SG**: I-4m2 (119)

K3Ti: PBEsol geometry, SCAN.

Structure (POSCAR):
```
K3Ti
1.0
-3.190 3.190 4.665
3.190 -3.190 4.665
3.190 3.190 -4.665
K Ti
3 1
Cartesian
0.000 0.000 0.000 K
3.190 0.000 2.332 K
0.000 3.190 2.332 K
0.000 0.000 4.665 Ti
```

Properties
**Total magnetic moment**: 0.8276 μB/atom
**Calculated total energy**: -9.449 eV per atom
**SG**: I4/mmm (139)

KTi3Tl: PBEsol geometry, SCAN.

Structure (POSCAR):
```
KTi3Tl
1.0
5.292 0.000 0.000
0.000 5.292 0.000
0.000 0.000 5.292
K Ti Tl
1 3 1
Cartesian
0.000 0.000 0.000 K
0.000 2.646 2.646 Ti
2.646 0.000 2.646 Ti
2.646 2.646 0.000 Ti
2.646 2.646 2.646 Tl
```

Properties
**Total magnetic moment**: 1.5535 μB/atom
**Calculated total energy**: -24.672 eV per atom
**SG**: Pm-3m (221)

K3YTi: PBEsol geometry, SCAN.

Structure (POSCAR):
```
K3YTi
1.0
6.301 0.000 0.000
0.000 6.301 0.000
0.000 0.000 6.301
K Y Ti
3 1 1
Cartesian
0.000 0.000 3.150 K
0.000 3.150 0.000 K
3.150 0.000 0.000 K
3.150 3.150 3.150 Y
0.000 0.000 0.000 Ti
```

Properties
**Distance to the lowest polymorph of the same formula**: 0.0000 eV per atom
**Total magnetic moment**: 0.4773 μB/atom
**SG**: Pm-3m (221)